1.
TaTeW meta-GGA SCAN single point on PBEsol structure; V = 20.50 A^3/atom; energy above the most stable polymorph in this dataset = 817 meV per atom; uncorrected energy = -56.5118 eV per atom; space-group type = F-43m, No. 216; ΔE_f (raw) = 3.987 eV/f.u.
1.0
4.430 0.000 0.000
2.215 3.837 0.000
2.215 1.279 3.617
Ta W Te
1 1 1
Cartesian
4.430 2.558 1.809
0.000 0.000 0.000
2.215 1.279 0.904

=====

2.
LiHf2ZnGe meta-GGA SCAN single point on PBEsol structure; V = 19.84 A^3/atom; formation enthalpy at 0 K = 38 kJ/mol of atoms; uncorrected energy = -31.6741 eV per atom; space-group type = P4/mmm, No. 123
1.0
-3.990 0.198 -1.318
1.226 -2.357 -4.065
-0.930 -4.240 2.178
Hf Li Zn Ge
2 1 1 1
Cartesian
0.613 -1.179 -2.033
-0.465 -2.120 1.089
-1.995 0.099 -0.659
0.000 0.000 0.000
-1.847 -3.199 -1.603

=====

3.
CoRe3Cl meta-GGA SCAN single point on PBEsol structure; V = 17.55 A^3/atom; uncorrected energy = -45.4619 eV per atom; space-group type = Pm-3m, No. 221; ΔE_f (raw) = 11.265 eV/f.u.
1.0
4.444 0.000 0.000
0.000 4.444 0.000
0.000 0.000 4.444
Cl Re Co
1 3 1
Cartesian
2.222 2.222 2.222
0.000 2.222 0.000
0.000 0.000 2.222
2.222 0.000 0.000
0.000 0.000 0.000

=====

4.
LaZnTc meta-GGA SCAN single point on PBEsol structure; V = 21.03 A^3/atom; formation enthalpy at 0 K = 30 kJ/mol of atoms; energy above the most stable polymorph in this dataset = 0 meV per atom; uncorrected energy = -30.2499 eV per atom; space-group type = F-43m, No. 216
1.0
-3.658 -1.460 2.111
0.370 -2.046 3.955
-1.403 2.048 3.715
La Zn Tc
1 1 1
Cartesian
-2.345 -0.729 4.891
0.000 0.000 0.000
-1.173 -0.365 2.445

=====

5.
BaMg2Pd meta-GGA SCAN single point on PBEsol structure; V = 24.55 A^3/atom; formation enthalpy at 0 K = -2 kJ/mol of atoms; uncorrected energy = -20.5931 eV per atom; space-group type = Fm-3m, No. 225
1.0
5.179 0.000 0.000
2.589 4.485 0.000
2.589 1.495 4.228
Pd Ba Mg
1 1 2
Cartesian
0.000 0.000 0.000
5.179 2.990 2.114
2.589 1.495 1.057
7.768 4.485 3.171

=====

6.
Tc3PtW meta-GGA SCAN single point on PBEsol structure; V = 18.87 A^3/atom; formation enthalpy at 0 K = 184 kJ/mol of atoms; uncorrected energy = -47.1034 eV per atom; space-group type = Pm-3m, No. 221
1.0
-1.300 3.813 -2.121
-3.004 -2.387 -2.451
-3.165 0.699 3.197
Pt Tc W
1 3 1
Cartesian
-3.734 1.063 -0.687
-0.650 1.906 -1.060
-1.502 -1.194 -1.225
-1.582 0.350 1.599
0.000 0.000 0.000